A plane-wave DFT calculation with PBE with a Hubbard U was carried out for an optimized crystal structure of CsPmMnF6.

a b c (Å): 7.994 7.643 7.717
angles (deg): 119.68 121.19 90.00
Each line ends with the local moment (μB).
Sites, in units of the cell vectors:
Mn: 0.500 0.000 0.000  4.68
Mn: 0.500 0.500 0.000  4.68
Cs: 0.847 0.597 0.694  0.00
Cs: 0.153 0.403 0.306  0.00
F: 0.437 0.627 0.268  0.02
F: 0.857 0.107 0.714  0.00
F: 0.563 0.859 0.732  0.02
F: 0.830 0.141 0.268  0.02
F: 0.563 0.373 0.732  0.02
F: 0.830 0.627 0.268  0.02
F: 0.170 0.859 0.732  0.02
F: 0.406 0.156 0.811  0.04
F: 0.170 0.373 0.732  0.02
F: 0.143 0.893 0.286  0.00
F: 0.437 0.141 0.268  0.02
F: 0.594 0.844 0.189  0.04
Pm: 0.000 0.000 0.500  0.01
Pm: 0.500 0.000 0.500  0.01

Energy   -6.009 eV/atom